# ScRe2 PBE optimized geometry
# calculated total energy	-60.1	eV per cell
# formation energy	0.394	eV/atom
# mass density	14.07	g cm⁻³
data_ScRe2
_chemical_formula_sum 'Sc2 Re4'
_symmetry_space_group_name_H-M 'P 1'
_symmetry_Int_Tables_number 1
_symmetry_space_group_name_Hall 'P 1'
_cell_length_a 4.6718
_cell_length_b 4.6718
_cell_length_c 5.2110
_cell_angle_alpha 90.00
_cell_angle_beta 90.00
_cell_angle_gamma 120.00
loop_
_atom_site_label
_atom_site_fract_x
_atom_site_fract_y
_atom_site_fract_z
Sc1 0.3333 0.6667 0.2500
Sc2 0.6667 0.3333 0.7500
Re1 0.0000 0.0000 0.0000
Re2 0.0000 0.0000 0.5000
Re3 0.3333 0.6667 0.7500
Re4 0.6667 0.3333 0.2500

---

# RbMnSiS2 PBE optimized geometry
# calculated total energy	-15.2	eV per cell
# formation energy without anion corrections	165.8	kJ/mol of atoms
# mass density	2.17	g cm⁻³
data_RbMnSiS2
_chemical_formula_sum 'Rb1 Mn1 Si1 S2'
_symmetry_space_group_name_H-M 'P 1'
_symmetry_Int_Tables_number 1
_symmetry_space_group_name_Hall 'P 1'
_cell_length_a 5.6578
_cell_length_b 5.6578
_cell_length_c 5.5681
_cell_angle_alpha 90.00
_cell_angle_beta 90.00
_cell_angle_gamma 90.00
loop_
_atom_site_label
_atom_site_fract_x
_atom_site_fract_y
_atom_site_fract_z
Rb1 0.0000 0.0000 0.0000
Mn1 0.5000 0.5000 0.5000
Si1 0.0000 0.0000 0.5000
S1 0.0000 0.5000 0.0000
S2 0.5000 0.0000 0.0000

---

# TiMnOsRu PBE optimized geometry
# calculated total energy	-38.7	eV per cell
# formation energy	-0.282	eV/atom
# mass density	11.56	g cm⁻³
data_TiMnOsRu
_chemical_formula_sum 'Ti1 Mn1 Os1 Ru1'
_symmetry_space_group_name_H-M 'P 1'
_symmetry_Int_Tables_number 1
_symmetry_space_group_name_Hall 'P 1'
_cell_length_a 4.3099
_cell_length_b 4.3099
_cell_length_c 4.3099
_cell_angle_alpha 60.00
_cell_angle_beta 60.00
_cell_angle_gamma 60.00
loop_
_atom_site_label
_atom_site_fract_x
_atom_site_fract_y
_atom_site_fract_z
Ti1 0.0000 0.0000 0.0000
Mn1 0.5000 0.5000 0.5000
Os1 0.2500 0.2500 0.2500
Ru1 0.7500 0.7500 0.7500

---

# BeCd2Fe PBE optimized geometry
# calculated total energy	-12.4	eV per cell
# formation energy	0.409	eV/atom
# mass density	7.76	g cm⁻³
data_BeCd2Fe
_chemical_formula_sum 'Be1 Cd2 Fe1'
_symmetry_space_group_name_H-M 'P 1'
_symmetry_Int_Tables_number 1
_symmetry_space_group_name_Hall 'P 1'
_cell_length_a 2.9029
_cell_length_b 2.9029
_cell_length_c 7.3526
_cell_angle_alpha 90.00
_cell_angle_beta 90.00
_cell_angle_gamma 90.00
loop_
_atom_site_label
_atom_site_fract_x
_atom_site_fract_y
_atom_site_fract_z
Be1 0.0000 0.0000 0.0000
Cd1 0.5000 0.5000 0.2331
Cd2 0.5000 0.5000 0.7669
Fe1 0.0000 0.0000 0.5000

---

# Gd2AlCo2 PBE optimized geometry
# calculated total energy	-47.9	eV per cell
# formation energy	-0.358	eV/atom
# mass density	8.11	g cm⁻³
data_Gd2AlCo2
_chemical_formula_sum 'Gd2 Al1 Co2'
_symmetry_space_group_name_H-M 'P 1'
_symmetry_Int_Tables_number 1
_symmetry_space_group_name_Hall 'P 1'
_cell_length_a 5.4373
_cell_length_b 5.4373
_cell_length_c 5.4373
_cell_angle_alpha 136.37
_cell_angle_beta 119.33
_cell_angle_gamma 77.67
loop_
_atom_site_label
_atom_site_fract_x
_atom_site_fract_y
_atom_site_fract_z
Gd1 0.2032 0.2032 0.0000
Gd2 0.7968 0.7968 0.0000
Al1 0.5000 0.0000 0.5000
Co1 0.2250 0.5000 0.7250
Co2 0.7750 0.5000 0.2750

---

# K3NaMnCl6 PBE optimized geometry
# calculated total energy	-87.4	eV per cell
# formation energy without anion corrections	-165.2	kJ/mol of atoms
# mass density	2.24	g cm⁻³
data_K3NaMnCl6
_chemical_formula_sum 'K6 Na2 Mn2 Cl12'
_symmetry_space_group_name_H-M 'P 1'
_symmetry_Int_Tables_number 1
_symmetry_space_group_name_Hall 'P 1'
_cell_length_a 8.4685
_cell_length_b 8.4685
_cell_length_c 8.4685
_cell_angle_alpha 92.39
_cell_angle_beta 92.39
_cell_angle_gamma 92.39
loop_
_atom_site_label
_atom_site_fract_x
_atom_site_fract_y
_atom_site_fract_z
K1 0.1273 0.7500 0.3727
K2 0.2500 0.6273 0.8727
K3 0.3727 0.1273 0.7500
K4 0.6273 0.8727 0.2500
K5 0.7500 0.3727 0.1273
K6 0.8727 0.2500 0.6273
Na1 0.2500 0.2500 0.2500
Na2 0.7500 0.7500 0.7500
Mn1 0.0000 0.0000 0.0000
Mn2 0.5000 0.5000 0.5000
Cl1 0.0442 0.9187 0.7115
Cl2 0.0813 0.2885 0.9558
Cl3 0.2115 0.4187 0.5442
Cl4 0.2885 0.9558 0.0813
Cl5 0.4187 0.5442 0.2115
Cl6 0.4558 0.7885 0.5813
Cl7 0.5442 0.2115 0.4187
Cl8 0.5813 0.4558 0.7885
Cl9 0.7115 0.0442 0.9187
Cl10 0.7885 0.5813 0.4558
Cl11 0.9187 0.7115 0.0442
Cl12 0.9558 0.0813 0.2885